## Sr2Fe2H2OF10 (PBE+U)

Data for Sr2Fe2H2OF10 after structural relaxation.

Calculated values
Size of the total moment: 79.8 μB per cell
DOS at the Fermi energy: 0.000 states/eV/cell
Energy: -5.413 eV/atom

Cell: 7.936 20.104 10.941 Å, 90.00 90.00 90.00°
Space group Cmce (No. 64)
Unique sites:
Sr1 0.000 0.120 0.047 (multiplicity 8)
Sr2 0.250 0.219 0.750 (multiplicity 8)
Fe1 0.000 0.183 0.435 (multiplicity 8)
Fe2 0.250 0.034 0.750 (multiplicity 8)
H1 0.103 0.060 0.421 (multiplicity 16)
O1 0.000 0.084 0.451 (multiplicity 8)
F1 0.000 0.028 0.712 (multiplicity 8)
F2 0.000 0.180 0.253 (multiplicity 8)
F3 0.000 0.199 0.611 (multiplicity 8)
F4 0.000 0.219 0.898 (multiplicity 8)
F5 0.199 0.104 0.864 (multiplicity 16)
F6 0.213 0.035 0.125 (multiplicity 16)
F7 0.242 0.188 0.421 (multiplicity 16)